12
Lattice="9.3760 0.0000 0.0000 0.0000 5.1092 0.0000 0.0000 0.0000 4.3841" Properties=species:S:1:pos:R:3 comment="LaNi2, optimized geometry, DFT GGA-PBE" magnetic_moment_mub_per_cell=0.00 dft_energy_ev_per_atom=-5.708 vol_a3_per_cell=210 sg="No. 63" dos_at_fermi_per_ev_atom=0.891 ef_ev_per_atom=-0.2118 pbc="T T T"
La 0.0000 1.1607 1.0960
La 0.0000 3.9485 3.2881
La 4.6880 1.3939 3.2881
La 4.6880 3.7153 1.0960
Ni 2.0525 1.9122 3.2881
Ni 2.0525 3.1969 1.0960
Ni 2.6355 0.6423 1.0960
Ni 2.6355 4.4668 3.2881
Ni 6.7405 0.6423 1.0960
Ni 6.7405 4.4668 3.2881
Ni 7.3235 1.9122 3.2881
Ni 7.3235 3.1969 1.0960